a | A geometry-optimized CsTaAs2Br structure. Source: Alexandria, functional GGA-PBE.

```
data_CsTaAs2Br
_chemical_formula_sum 'Cs1 Ta1 As2 Br1'
_cell_length_a 5.6965
_cell_length_b 5.6965
_cell_length_c 6.0385
_cell_angle_alpha 90.00
_cell_angle_beta 90.00
_cell_angle_gamma 90.00
_space_group_name_H-M_alt 'P 4/m m m'
_space_group_IT_number 123
_space_group_name_Hall '-P 4 2'
loop_
_atom_site_label
_atom_site_type_symbol
_atom_site_fract_x
_atom_site_fract_y
_atom_site_fract_z
Cs1 Cs 0.0000 0.0000 0.0000
Ta1 Ta 0.5000 0.5000 0.5000
As1 As 0.0000 0.5000 0.0000
Br1 Br 0.0000 0.0000 0.5000
```

***

b | A geometry-optimized CsTaAs2Br structure. Source: Alexandria, functional GGA-PBE.

```
data_CsTaAs2Br
_chemical_formula_sum 'Cs1 Ta1 As2 Br1'
_cell_length_a 5.0405
_cell_length_b 5.0405
_cell_length_c 5.7209
_cell_angle_alpha 90.00
_cell_angle_beta 90.00
_cell_angle_gamma 90.00
_space_group_name_H-M_alt 'P 4/m m m'
_space_group_IT_number 123
_space_group_name_Hall '-P 4 2'
loop_
_atom_site_label
_atom_site_type_symbol
_atom_site_fract_x
_atom_site_fract_y
_atom_site_fract_z
Cs1 Cs 0.0000 0.0000 0.0000
Ta1 Ta 0.5000 0.5000 0.5000
As1 As 0.0000 0.5000 0.5000
Br1 Br 0.5000 0.5000 0.0000
```

***

Which of them is least stable? Easy: a.

***

a | A geometry-optimized CsTcAs2Br structure. Source: Alexandria, functional GGA-PBE.

```
data_CsTcAs2Br
_chemical_formula_sum 'Cs1 Tc1 As2 Br1'
_cell_length_a 4.8291
_cell_length_b 4.8291
_cell_length_c 6.0059
_cell_angle_alpha 90.00
_cell_angle_beta 90.00
_cell_angle_gamma 90.00
_space_group_name_H-M_alt 'P 4/m m m'
_space_group_IT_number 123
_space_group_name_Hall '-P 4 2'
loop_
_atom_site_label
_atom_site_type_symbol
_atom_site_fract_x
_atom_site_fract_y
_atom_site_fract_z
Cs1 Cs 0.0000 0.0000 0.0000
Tc1 Tc 0.5000 0.5000 0.5000
As1 As 0.0000 0.5000 0.5000
Br1 Br 0.5000 0.5000 0.0000
```

***

b | A geometry-optimized CsTcAs2Br structure. Source: Alexandria, functional GGA-PBE.

```
data_CsTcAs2Br
_chemical_formula_sum 'Cs1 Tc1 As2 Br1'
_cell_length_a 5.9043
_cell_length_b 5.9043
_cell_length_c 6.2382
_cell_angle_alpha 90.00
_cell_angle_beta 90.00
_cell_angle_gamma 90.00
_space_group_name_H-M_alt 'P 4/m m m'
_space_group_IT_number 123
_space_group_name_Hall '-P 4 2'
loop_
_atom_site_label
_atom_site_type_symbol
_atom_site_fract_x
_atom_site_fract_y
_atom_site_fract_z
Cs1 Cs 0.0000 0.0000 0.0000
Tc1 Tc 0.5000 0.5000 0.5000
As1 As 0.0000 0.5000 0.0000
Br1 Br 0.0000 0.0000 0.5000
```

***

Which of them is least stable? Easy: b.

***

a | A geometry-optimized CsTeAs2Br structure. Source: Alexandria, functional GGA-PBE.

```
data_CsTeAs2Br
_chemical_formula_sum 'Cs1 Te1 As2 Br1'
_cell_length_a 6.2422
_cell_length_b 6.2422
_cell_length_c 6.5568
_cell_angle_alpha 90.00
_cell_angle_beta 90.00
_cell_angle_gamma 90.00
_space_group_name_H-M_alt 'P 4/m m m'
_space_group_IT_number 123
_space_group_name_Hall '-P 4 2'
loop_
_atom_site_label
_atom_site_type_symbol
_atom_site_fract_x
_atom_site_fract_y
_atom_site_fract_z
Cs1 Cs 0.0000 0.0000 0.0000
Te1 Te 0.5000 0.5000 0.5000
As1 As 0.0000 0.5000 0.0000
Br1 Br 0.0000 0.0000 0.5000
```

***

b | A geometry-optimized CsTeAs2Br structure. Source: Alexandria, functional GGA-PBE.

```
data_CsTeAs2Br
_chemical_formula_sum 'Cs1 Te1 As2 Br1'
_cell_length_a 5.3796
_cell_length_b 5.3796
_cell_length_c 6.6030
_cell_angle_alpha 90.00
_cell_angle_beta 90.00
_cell_angle_gamma 90.00
_space_group_name_H-M_alt 'P 4/m m m'
_space_group_IT_number 123
_space_group_name_Hall '-P 4 2'
loop_
_atom_site_label
_atom_site_type_symbol
_atom_site_fract_x
_atom_site_fract_y
_atom_site_fract_z
Cs1 Cs 0.0000 0.0000 0.0000
Te1 Te 0.5000 0.5000 0.5000
As1 As 0.0000 0.5000 0.5000
Br1 Br 0.5000 0.5000 0.0000
```

***

Which of them is least stable? Easy: a.

***

a | A geometry-optimized CsTlAs2Br structure. Source: Alexandria, functional GGA-PBE.

```
data_CsTlAs2Br
_chemical_formula_sum 'Cs1 Tl1 As2 Br1'
_cell_length_a 5.4212
_cell_length_b 5.4212
_cell_length_c 6.6382
_cell_angle_alpha 90.00
_cell_angle_beta 90.00
_cell_angle_gamma 90.00
_space_group_name_H-M_alt 'P 4/m m m'
_space_group_IT_number 123
_space_group_name_Hall '-P 4 2'
loop_
_atom_site_label
_atom_site_type_symbol
_atom_site_fract_x
_atom_site_fract_y
_atom_site_fract_z
Cs1 Cs 0.0000 0.0000 0.0000
Tl1 Tl 0.5000 0.5000 0.5000
As1 As 0.0000 0.5000 0.5000
Br1 Br 0.5000 0.5000 0.0000
```

***

b | A geometry-optimized CsTlAs2Br structure. Source: Alexandria, functional GGA-PBE.

```
data_CsTlAs2Br
_chemical_formula_sum 'Cs1 Tl1 As2 Br1'
_cell_length_a 6.1276
_cell_length_b 6.1276
_cell_length_c 6.6111
_cell_angle_alpha 90.00
_cell_angle_beta 90.00
_cell_angle_gamma 90.00
_space_group_name_H-M_alt 'P 4/m m m'
_space_group_IT_number 123
_space_group_name_Hall '-P 4 2'
loop_
_atom_site_label
_atom_site_type_symbol
_atom_site_fract_x
_atom_site_fract_y
_atom_site_fract_z
Cs1 Cs 0.0000 0.0000 0.0000
Tl1 Tl 0.5000 0.5000 0.5000
As1 As 0.0000 0.5000 0.0000
Br1 Br 0.0000 0.0000 0.5000
```

***

Which of them is least stable? Easy: b.

***

a | A geometry-optimized CsVAs2Br structure. Source: Alexandria, functional GGA-PBE.

```
data_CsVAs2Br
_chemical_formula_sum 'Cs1 V1 As2 Br1'
_cell_length_a 5.9205
_cell_length_b 5.9205
_cell_length_c 6.3409
_cell_angle_alpha 90.00
_cell_angle_beta 90.00
_cell_angle_gamma 90.00
_space_group_name_H-M_alt 'P 4/m m m'
_space_group_IT_number 123
_space_group_name_Hall '-P 4 2'
loop_
_atom_site_label
_atom_site_type_symbol
_atom_site_fract_x
_atom_site_fract_y
_atom_site_fract_z
Cs1 Cs 0.0000 0.0000 0.0000
V1 V 0.5000 0.5000 0.5000
As1 As 0.0000 0.5000 0.0000
Br1 Br 0.0000 0.0000 0.5000
```

***

b | A geometry-optimized CsVAs2Br structure. Source: Alexandria, functional GGA-PBE.

```
data_CsVAs2Br
_chemical_formula_sum 'Cs1 V1 As2 Br1'
_cell_length_a 4.8093
_cell_length_b 4.8093
_cell_length_c 6.0867
_cell_angle_alpha 90.00
_cell_angle_beta 90.00
_cell_angle_gamma 90.00
_space_group_name_H-M_alt 'P 4/m m m'
_space_group_IT_number 123
_space_group_name_Hall '-P 4 2'
loop_
_atom_site_label
_atom_site_type_symbol
_atom_site_fract_x
_atom_site_fract_y
_atom_site_fract_z
Cs1 Cs 0.0000 0.0000 0.0000
V1 V 0.5000 0.5000 0.5000
As1 As 0.0000 0.5000 0.5000
Br1 Br 0.5000 0.5000 0.0000
```

***

Which of them is least stable? Easy: a.

***

a | A geometry-optimized CsAsWBr2 structure. Source: Alexandria, functional GGA-PBE.

```
data_CsAsWBr2
_chemical_formula_sum 'Cs1 As1 W1 Br2'
_cell_length_a 5.5757
_cell_length_b 5.5757
_cell_length_c 4.8845
_cell_angle_alpha 90.00
_cell_angle_beta 90.00
_cell_angle_gamma 90.00
_space_group_name_H-M_alt 'P 4/m m m'
_space_group_IT_number 123
_space_group_name_Hall '-P 4 2'
loop_
_atom_site_label
_atom_site_type_symbol
_atom_site_fract_x
_atom_site_fract_y
_atom_site_fract_z
Cs1 Cs 0.0000 0.0000 0.0000
As1 As 0.5000 0.5000 0.0000
W1 W 0.5000 0.5000 0.5000
Br1 Br 0.0000 0.5000 0.5000
```

***

b | A geometry-optimized CsAsWBr2 structure. Source: Alexandria, functional GGA-PBE.

```
data_CsAsWBr2
_chemical_formula_sum 'Cs1 As1 W1 Br2'
_cell_length_a 6.1680
_cell_length_b 6.1680
_cell_length_c 5.9722
_cell_angle_alpha 90.00
_cell_angle_beta 90.00
_cell_angle_gamma 90.00
_space_group_name_H-M_alt 'P 4/m m m'
_space_group_IT_number 123
_space_group_name_Hall '-P 4 2'
loop_
_atom_site_label
_atom_site_type_symbol
_atom_site_fract_x
_atom_site_fract_y
_atom_site_fract_z
Cs1 Cs 0.0000 0.0000 0.0000
As1 As 0.0000 0.0000 0.5000
W1 W 0.5000 0.5000 0.5000
Br1 Br 0.0000 0.5000 0.0000
```

***

Which of them is least stable? Easy: b.

***

a | A geometry-optimized CuAsBr structure. Source: Alexandria, functional GGA-PBE.

```
data_CuAsBr
_chemical_formula_sum 'Cu1 As1 Br1'
_cell_length_a 3.5933
_cell_length_b 3.5933
_cell_length_c 5.4598
_cell_angle_alpha 90.00
_cell_angle_beta 90.00
_cell_angle_gamma 120.00
_space_group_name_H-M_alt 'P 3 m 1'
_space_group_IT_number 156
loop_
_space_group_symop_operation_xyz
'x,y,z'
'-y,x-y,z'
'-x+y,-x,z'
'-y,-x,z'
'-x+y,y,z'
'x,x-y,z'
loop_
_atom_site_label
_atom_site_type_symbol
_atom_site_fract_x
_atom_site_fract_y
_atom_site_fract_z
Cu1 Cu 0.0000 0.0000 0.0000
As1 As 0.3333 0.6667 0.2513
Br1 Br 0.6667 0.3333 0.7052
```

***

b | A geometry-optimized CuAsBr structure. Source: Alexandria, functional GGA-PBE.

```
data_CuAsBr
_chemical_formula_sum 'Cu4 As4 Br4'
_cell_length_a 3.4712
_cell_length_b 6.1712
_cell_length_c 13.2910
_cell_angle_alpha 90.00
_cell_angle_beta 90.00
_cell_angle_gamma 90.00
_space_group_name_H-M_alt 'F m m 2'
_space_group_IT_number 42
_space_group_name_Hall 'F 2 -2'
loop_
_atom_site_label
_atom_site_type_symbol
_atom_site_fract_x
_atom_site_fract_y
_atom_site_fract_z
Cu1 Cu 0.0000 0.0000 0.0000
As1 As 0.0000 0.0000 0.6244
Br1 Br 0.0000 0.0000 0.3751
```

***

Which of them is least stable? Easy: b.